Arrangement one

SrTlC2: single point on PBEsol structure, meta-GGA SCAN.

It has space group I-42d (No. 122), with a = 4.723 Å, b = 4.723 Å, c = 14.184 Å, α = 90.00°, β = 90.00° and γ = 90.00°. The asymmetric unit holds Sr at (0.000, 0.000, 0.000), Tl at (0.000, 0.000, 0.500) and C at (0.131, 0.250, 0.625).

As for the theoretical density: 6.635 g/cm³. The calculation puts the density of states at the Fermi level at 2.839 states/eV/cell.

Arrangement two

SrTlC2: single point on PBEsol structure, meta-GGA SCAN.

It has space group Fm-3m (No. 225), with a = 6.374 Å, b = 6.374 Å, c = 6.374 Å, α = 90.00°, β = 90.00° and γ = 90.00°. The asymmetric unit holds Sr at (0.000, 0.000, 0.000), Tl at (0.000, 0.000, 0.500) and C at (0.250, 0.250, 0.250).

As for the theoretical density: 8.107 g/cm³. The calculation puts the density of states at the Fermi level at 9.387 states/eV/cell.

Bottom line: arrangement one, by a margin of 145 meV/atom.

Arrangement one

TaC3: single point on PBEsol structure, meta-GGA SCAN.

It has space group Pmmn (No. 59, origin choice 2), with a = 4.063 Å, b = 4.426 Å, c = 3.973 Å, α = 90.00°, β = 90.00° and γ = 90.00°. The asymmetric unit holds Ta at (0.250, 0.250, 0.141), C at (0.250, 0.596, 0.532) and C at (0.250, 0.750, 0.162).

As for the theoretical density: 10.083 g/cm³. The calculation puts the density of states at the Fermi level at 1.816 states/eV/cell.

Arrangement two

TaC3: single point on PBEsol structure, meta-GGA SCAN.

It has space group R-3m (No. 166, hexagonal axes), with a = 2.6954 Å, b = 2.6954 Å, c = 16.1493 Å, α = 90.00°, β = 90.00° and γ = 120.00°. The asymmetric unit holds Ta at (0.0000, 0.0000, 0.0000), C at (0.0000, 0.0000, 0.2276) and C at (0.0000, 0.0000, 0.5000).

As for the theoretical density: 10.638 g/cm³. The calculation puts the density of states at the Fermi level at 4.445 states/eV/cell.

Arrangement three

TaC3: single point on PBEsol structure, meta-GGA SCAN.

It has space group Cmcm (No. 63), with a = 3.547 Å, b = 9.675 Å, c = 4.214 Å, α = 90.00°, β = 90.00° and γ = 90.00°. The asymmetric unit holds Ta at (0.000, 0.104, 0.250), C at (0.000, 0.203, 0.750) and C at (0.197, 0.403, 0.250).

As for the theoretical density: 9.964 g/cm³. The calculation puts the density of states at the Fermi level at 2.972 states/eV/cell.

Bottom line: arrangement three, by a margin of 356 meV/atom.